Record 1
V6GaN: relaxed, GGA-PBE.

Unit cell a=5.1969 b=5.2195 c=5.4549 alpha=90.60 beta=117.97 gamma=119.74
Last column: nearest neighbours and their distance in Å.
Space group P-1 (No. 2)
Asymmetric unit:
V1 0.0752 0.0632 0.2727  1 N 2.00
V2 0.2642 0.6988 0.2748  1 N 1.99
V3 0.2829 0.4848 0.7245  1 N 2.00
Ga1 0.5000 0.0000 0.0000  6 V 2.46-2.47
N1 0.5000 0.5000 0.5000  6 V 1.99-2.00

Calculated values
Uncorrected formation energy   -0.07 eV per atom
Magnetization   0.00 μB/f.u.
Uncorrected energy   -66.7 eV/f.u.
DOS at the Fermi energy   0.681 states/eV/atom

Record 2
V4GaN: relaxed, GGA-PBE.

Unit cell a=4.2915 b=2.7249 c=6.7502 alpha=90.00 beta=106.21 gamma=90.00
Last column: nearest neighbours and their distance in Å.
Space group P2/m (No. 10)
Asymmetric unit:
V1 0.1013 0.0000 0.2107  1 N 2.12
V2 0.3239 0.5000 0.6031  2 N 1.93
Ga1 0.5000 0.5000 0.0000  6 V 2.57-2.86, 2 Ga 2.72
N1 0.0000 0.0000 0.5000  6 V 1.93-2.12

Calculated values
Uncorrected formation energy   -0.44 eV per atom
Energy above the lowest structure with this stoichiometry   0 meV per atom
Magnetization   0.00 μB/f.u.
Uncorrected energy   -50.4 eV/f.u.
DOS at the Fermi energy   0.785 states/eV/atom

Record 3
V5Ga5N: relaxed, GGA-PBE.

Unit cell a=9.2170 b=4.1359 c=8.3143 alpha=90.00 beta=98.21 gamma=90.00
Last column: nearest neighbours and their distance in Å.
Space group C2/m (No. 12)
Asymmetric unit:
V1 0.0000 0.0000 0.0000  2 N 2.07
V2 0.0909 0.5000 0.2234  1 N 1.93
V3 0.1989 0.5000 0.9275  1 N 2.01
Ga1 0.0000 0.5000 0.5000  2 V 2.56
Ga2 0.1232 0.0000 0.7421  4 V 2.57-2.61
Ga3 0.1892 0.0000 0.3783  2 V 2.53
N1 0.0000 0.5000 0.0000  6 V 1.93-2.07

Calculated values
Uncorrected formation energy   -0.28 eV per atom
Magnetization   0.00 μB/f.u.
Uncorrected energy   -72.1 eV/f.u.
DOS at the Fermi energy   0.511 states/eV/atom

Record 4
V4Ga5N: relaxed, GGA-PBE.

Unit cell a=14.1043 b=2.8415 c=7.1867 alpha=90.00 beta=97.54 gamma=90.00
Last column: nearest neighbours and their distance in Å.
Space group C2/m (No. 12)
Asymmetric unit:
V1 0.0024 0.0000 0.3133  2 N 1.96
V2 0.1500 0.5000 0.5371  1 N 2.10
Ga1 0.0000 0.5000 0.0000  4 V 2.66, 2 Ga 2.84
Ga2 0.1699 0.0000 0.8651  3 V 2.59-2.74, 5 Ga 2.68-2.84
Ga3 0.1799 0.0000 0.2402  4 V 2.62-2.70, 5 Ga 2.68-2.84
N1 0.0000 0.5000 0.5000  6 V 1.96-2.10

Calculated values
Uncorrected formation energy   -0.31 eV per atom
Magnetization   0.00 μB/f.u.
Uncorrected energy   -63.0 eV/f.u.
DOS at the Fermi energy   0.838 states/eV/atom

Record 5
V6Ga2N: relaxed, GGA-PBE.

Unit cell a=12.3940 b=5.3230 c=4.1659 alpha=90.00 beta=109.55 gamma=90.00
Last column: nearest neighbours and their distance in Å.
Space group C2/m (No. 12)
Asymmetric unit:
V1 0.0000 0.2409 0.0000  2 N 2.45, 5 V 2.55-2.56, 2 Ga 2.61
V2 0.1255 0.2522 0.6250  1 N 1.99
Ga1 0.1901 0.5000 0.1893  8 V 2.54-2.61
N1 0.0000 0.0000 0.5000  4 V 1.99

Calculated values
Uncorrected formation energy   0.16 eV per atom
Energy above the lowest structure with this stoichiometry   503 meV per atom
Magnetization   0.00 μB/f.u.
Uncorrected energy   -67.6 eV/f.u.
DOS at the Fermi energy   1.101 states/eV/atom

Record 6
V6Ga4N: relaxed, GGA-PBE.

Unit cell a=2.6482 b=8.9741 c=13.3553 alpha=90.00 beta=90.00 gamma=90.00
Last column: nearest neighbours and their distance in Å.
Space group Amm2 (No. 38)
Asymmetric unit:
V1 0.0000 0.0000 0.0000  2 N 2.04
V2 0.0000 0.1595 0.1692  2 N 2.08
V3 0.5000 0.0000 0.6447  5 Ga 2.47-2.72, 2 V 2.65
V4 0.5000 0.2394 0.3394  3 Ga 2.34-2.52
Ga1 0.0000 0.0000 0.3362  6 V 2.52-2.65, 4 Ga 2.65-2.77
Ga2 0.0000 0.1717 0.5088  5 V 2.62-2.72, 3 Ga 2.65-2.77
Ga3 0.5000 0.0000 0.8297  3 V 2.34-2.47
N1 0.5000 0.0000 0.1160  6 V 2.04-2.08

Calculated values
Uncorrected formation energy   0.02 eV per atom
Magnetization   0.00 μB/f.u.
Uncorrected energy   -74.9 eV/f.u.
DOS at the Fermi energy   0.992 states/eV/atom

Record 7
V3Ga2N: relaxed, GGA-PBE.

Unit cell a=8.6884 b=7.0786 c=5.3385 alpha=90.00 beta=90.00 gamma=90.00
Last column: nearest neighbours and their distance in Å.
Space group Cmcm (No. 63)
Asymmetric unit:
V1 0.0000 0.1648 0.2500  1 N 1.97
V2 0.1531 0.5000 0.0000  2 N 1.93
Ga1 0.1435 0.1794 0.7500  1 Ga 2.49, 5 V 2.55-2.74
N1 0.0000 0.4432 0.2500  5 V 1.93-1.97

Calculated values
Uncorrected formation energy   -0.31 eV per atom
Energy above the lowest structure with this stoichiometry   286 meV per atom
Magnetization   0.00 μB/f.u.
Uncorrected energy   -43.6 eV/f.u.
DOS at the Fermi energy   0.741 states/eV/atom

Record 8
V4GaN: relaxed, GGA-PBE.

Unit cell a=7.3014 b=7.9938 c=2.9382 alpha=90.00 beta=90.00 gamma=90.00
Last column: nearest neighbours and their distance in Å.
Space group Cmmm (No. 65)
Asymmetric unit:
V1 0.0000 0.2480 0.0000  1 N 1.98
V2 0.1725 0.0000 0.5000  2 N 1.93
Ga1 0.0000 0.5000 0.5000  6 V 2.39-2.49
N1 0.0000 0.0000 0.0000  6 V 1.93-1.98

Calculated values
Uncorrected formation energy   -0.03 eV per atom
Energy above the lowest structure with this stoichiometry   411 meV per atom
Magnetization   0.00 μB/f.u.
Uncorrected energy   -48.0 eV/f.u.
DOS at the Fermi energy   0.894 states/eV/atom